An optimized crystal structure of CdTc5C3, computed with GGA-PBE.

extended XYZ file:
```
9
Lattice="-0.787 -6.899 2.191 6.443 3.323 0.678 -0.773 0.947 2.703" Properties=species:S:1:pos:R:3 pbc="T T T"
Tc 3.467 -1.963 3.306
Tc -0.637 -1.725 2.050
Tc 1.667 1.532 1.568
Tc 3.647 0.389 2.534
Tc 1.237 -3.018 3.038
C 3.171 1.635 0.334
C -0.387 -3.395 1.078
C 2.873 -1.816 1.457
Cd 0.000 0.000 0.000
```

Summary:
Uncorrected energy = -68.8 eV per cell
Space-group type = P-62m
Total magnetization = 0.005 μB/cell